# SrBiMo3

A geometry-optimized SrBiMo3 structure (GGA-PBE, Alexandria via LeMat-Bulk).

Unit cell a=4.9300 b=4.9300 c=4.9300 alpha=90.00 beta=90.00 gamma=90.00
Space group Pm-3m (No. 221)
Unique sites:
Sr 0.0000 0.0000 0.0000
Bi 0.5000 0.5000 0.5000
Mo 0.0000 0.0000 0.5000

=====

# Sr3BiMo

A geometry-optimized Sr3BiMo structure (GGA-PBE, Alexandria via LeMat-Bulk).

Unit cell a=5.6755 b=5.6755 c=5.6755 alpha=90.00 beta=90.00 gamma=90.00
Space group Pm-3m (No. 221)
Unique sites:
Sr 0.0000 0.0000 0.5000
Bi 0.5000 0.5000 0.5000
Mo 0.0000 0.0000 0.0000

=====

no.,excess energy over the best structure of this formula in the dataset (meV per atom),E_tot (eV/cell),M_tot (μB/cell)
1,850,-24.1,4.1
2,0,-16.8,0.0